Density functional theory data (PBE) for an optimized crystal structure of NaPr2Th3Se6.

Cell: 18.4958 4.1998 8.5163 Å, 90.00 104.52 90.00°
Space group C2/m (No. 12)
Asymmetric unit:
Na 0.0000 0.0000 0.0000 [2 per cell]
Pr 0.1699 0.5000 0.3335 [4 per cell]
Th 0.0000 0.0000 0.5000 [2 per cell]
Th 0.1698 0.5000 0.8319 [4 per cell]
Se 0.0018 0.5000 0.7528 [4 per cell]
Se 0.1616 0.0000 0.0748 [4 per cell]
Se 0.1646 0.0000 0.5807 [4 per cell]

Values from the calculation:
electronic total energy: -73.49 eV/f.u.
V: 26.684 Å³ per atom
ΔE_f (raw): -1.62 eV/atom